No. 1
# GGA-PBE AcInSi2S8, optimized geometry
data_AcInSi2S8
_symmetry_space_group_name_H-M 'P 1'
_symmetry_Int_Tables_number 1
_cell_length_a 5.836
_cell_length_b 5.836
_cell_length_c 9.163
_cell_angle_alpha 90.00
_cell_angle_beta 90.00
_cell_angle_gamma 120.00
loop_
_symmetry_equiv_pos_as_xyz
'x,y,z'
loop_
_atom_site_label
_atom_site_fract_x
_atom_site_fract_y
_atom_site_fract_z
_atom_site_occupancy
S1 0.333 0.667 0.990 1
S2 0.667 0.333 0.010 1
S3 0.336 0.022 0.698 1
S4 0.314 0.336 0.302 1
S5 0.978 0.314 0.698 1
S6 0.022 0.686 0.302 1
S7 0.664 0.978 0.302 1
S8 0.686 0.664 0.698 1
Ac1 0.000 0.000 0.000 1
Si1 0.667 0.333 0.240 1
Si2 0.333 0.667 0.760 1
In1 0.000 0.000 0.500 1
# - Space group: P-3, No. 147
# - Energy: -4.925 eV per atom
# - Crystal system: trigonal



No. 2
# GGA-PBE TmPa3S6, optimized geometry
data_TmPa3S6
_symmetry_space_group_name_H-M 'P 1'
_symmetry_Int_Tables_number 1
_cell_length_a 4.203
_cell_length_b 8.104
_cell_length_c 8.104
_cell_angle_alpha 108.54
_cell_angle_beta 90.00
_cell_angle_gamma 90.00
loop_
_symmetry_equiv_pos_as_xyz
'x,y,z'
loop_
_atom_site_label
_atom_site_fract_x
_atom_site_fract_y
_atom_site_fract_z
_atom_site_occupancy
S1 0.000 0.899 0.655 1
S2 0.500 0.637 0.363 1
S3 0.500 0.363 0.637 1
S4 0.000 0.655 0.899 1
S5 0.000 0.101 0.345 1
S6 0.000 0.345 0.101 1
Pa1 0.000 0.000 0.000 1
Pa2 0.500 0.500 0.000 1
Pa3 0.500 0.000 0.500 1
Tm1 0.000 0.500 0.500 1
# - Space group: Cmmm, No. 65
# - Energy: -7.129 eV per atom
# - Crystal system: orthorhombic



No. 3
# GGA-PBE NpAg2AsSe4, optimized geometry
data_NpAg2AsSe4
_symmetry_space_group_name_H-M 'P 1'
_symmetry_Int_Tables_number 1
_cell_length_a 8.095
_cell_length_b 8.095
_cell_length_c 8.351
_cell_angle_alpha 121.07
_cell_angle_beta 121.07
_cell_angle_gamma 89.57
loop_
_symmetry_equiv_pos_as_xyz
'x,y,z'
loop_
_atom_site_label
_atom_site_fract_x
_atom_site_fract_y
_atom_site_fract_z
_atom_site_occupancy
Se1 0.245 0.756 0.001 1
Se2 0.253 0.247 0.486 1
Se3 0.253 0.247 0.014 1
Se4 0.744 0.255 0.499 1
Se5 0.747 0.753 0.986 1
Se6 0.256 0.745 0.501 1
Se7 0.747 0.753 0.514 1
Se8 0.755 0.244 0.999 1
Np1 0.000 0.500 0.500 1
Np2 0.000 0.500 0.000 1
Ag1 0.500 0.000 0.500 1
Ag2 0.500 0.500 0.000 1
Ag3 0.500 0.000 0.000 1
Ag4 0.000 0.000 0.500 1
As1 0.500 0.500 0.500 1
As2 0.000 0.000 0.000 1
# - Space group: Imma, No. 74
# - Energy: -5.018 eV per atom
# - Crystal system: orthorhombic